# Sc4AlBr | Alexandria via LeMat-Bulk | PBE-GGA | relaxed
data_Sc4AlBr
_cell_length_a 5.8940
_cell_length_b 5.8940
_cell_length_c 5.8940
_cell_angle_alpha 60.00
_cell_angle_beta 60.00
_cell_angle_gamma 60.00
_space_group_name_H-M_alt 'P 1'
_space_group_IT_number 1
loop_
_space_group_symop_operation_xyz
'x,y,z'
loop_
_atom_site_label
_atom_site_type_symbol
_atom_site_fract_x
_atom_site_fract_y
_atom_site_fract_z
Sc1 Sc 0.1224 0.1224 0.1224
Sc2 Sc 0.1224 0.1224 0.6327
Sc3 Sc 0.1224 0.6327 0.1224
Sc4 Sc 0.6327 0.1224 0.1224
Al1 Al 0.7500 0.7500 0.7500
Br1 Br 0.5000 0.5000 0.5000
# Raw total energy: -4.8930 eV per atom
# Spin magnetization: 0.00 μB per formula unit
# Symmetry: No. 216